1.
## MgCdSO (PBE-GGA)

Data for a relaxed structure of MgCdSO. Values from VASP.

Computed properties:
**Space-group type**: No. 186
**Calculated volume**: 132.76 Å³ per cell
**Total energy**: -33.46 eV for the cell shown

Cell and atoms, written as Quantum ESPRESSO input:
```
&SYSTEM
  ibrav = 0, nat = 8, ntyp = 4
/
ATOMIC_SPECIES
Mg 24.30 Mg.upf
Cd 112.41 Cd.upf
S 32.06 S.upf
O 16.00 O.upf
CELL_PARAMETERS angstrom
3.5388 0.0000 0.0000
-1.7694 3.0647 0.0000
0.0000 0.0000 12.2409
ATOMIC_POSITIONS crystal
Mg 0.3333 0.6667 0.0000
Mg 0.6667 0.3333 0.5000
Cd 0.0000 0.0000 0.2294
Cd 0.0000 0.0000 0.7294
S 0.3333 0.6667 0.3516
S 0.6667 0.3333 0.8516
O 0.0000 0.0000 0.0542
O 0.0000 0.0000 0.5542
```



2.
## Sm2P2O7 (PBE-GGA)

Data for a relaxed structure of Sm2P2O7. Values from VASP.

Computed properties:
**Space-group type**: No. 227
**Calculated volume**: 250.03 Å³ per cell
**Total energy**: -157.41 eV for the cell shown

Cell and atoms, written as Quantum ESPRESSO input:
```
&SYSTEM
  ibrav = 0, nat = 22, ntyp = 3
/
ATOMIC_SPECIES
Sm 150.36 Sm.upf
P 30.97 P.upf
O 16.00 O.upf
CELL_PARAMETERS angstrom
0.0000 5.0002 5.0002
5.0002 0.0000 5.0002
5.0002 5.0002 0.0000
ATOMIC_POSITIONS crystal
Sm 0.0000 0.0000 0.0000
Sm 0.0000 0.0000 0.5000
Sm 0.0000 0.5000 0.0000
Sm 0.5000 0.0000 0.0000
P 0.0000 0.5000 0.5000
P 0.5000 0.0000 0.5000
P 0.5000 0.5000 0.0000
P 0.5000 0.5000 0.5000
O 0.1250 0.1250 0.1250
O 0.1798 0.1798 0.5702
O 0.1798 0.5702 0.1798
O 0.1798 0.5702 0.5702
O 0.4298 0.4298 0.8202
O 0.4298 0.8202 0.4298
O 0.4298 0.8202 0.8202
O 0.5702 0.1798 0.1798
O 0.5702 0.1798 0.5702
O 0.5702 0.5702 0.1798
O 0.8202 0.4298 0.4298
O 0.8202 0.4298 0.8202
O 0.8202 0.8202 0.4298
O 0.8750 0.8750 0.8750
```



3.
## Lu4SbPbC2 (PBE-GGA)

Data for a relaxed structure of Lu4SbPbC2. Values from VASP.

Computed properties:
**Space-group type**: No. 187
**Calculated volume**: 167.81 Å³ per cell
**Total energy**: -49.41 eV for the cell shown

Cell and atoms, written as Quantum ESPRESSO input:
```
&SYSTEM
  ibrav = 0, nat = 8, ntyp = 4
/
ATOMIC_SPECIES
Lu 174.97 Lu.upf
Sb 121.76 Sb.upf
Pb 207.20 Pb.upf
C 12.01 C.upf
CELL_PARAMETERS angstrom
3.5645 0.0000 0.0000
-1.7823 3.0870 0.0000
0.0000 0.0000 15.2508
ATOMIC_POSITIONS crystal
Lu 0.0000 0.0000 0.1597
Lu 0.0000 0.0000 0.8403
Lu 0.3333 0.6667 0.3272
Lu 0.3333 0.6667 0.6728
Sb 0.3333 0.6667 0.0000
Pb 0.0000 0.0000 0.5000
C 0.6667 0.3333 0.2429
C 0.6667 0.3333 0.7571
```



4.
## Gd2HoNi2B2N3 (PBE-GGA)

Data for a relaxed structure of Gd2HoNi2B2N3. Values from VASP.

Computed properties:
**Space-group type**: No. 139
**Calculated volume**: 122.45 Å³ per cell
**Total energy**: -75.44 eV for the cell shown

Cell and atoms, written as Quantum ESPRESSO input:
```
&SYSTEM
  ibrav = 0, nat = 10, ntyp = 5
/
ATOMIC_SPECIES
Gd 157.25 Gd.upf
Ho 164.93 Ho.upf
Ni 58.69 Ni.upf
B 10.81 B.upf
N 14.01 N.upf
CELL_PARAMETERS angstrom
-1.7477 1.7477 10.0218
1.7477 -1.7477 10.0218
1.7477 1.7477 -10.0218
ATOMIC_POSITIONS crystal
Gd 0.1232 0.1232 0.0000
Gd 0.8768 0.8768 0.0000
Ho 0.5000 0.5000 0.0000
Ni 0.2500 0.7500 0.5000
Ni 0.7500 0.2500 0.5000
B 0.3106 0.3106 0.0000
B 0.6894 0.6894 0.0000
N 0.0000 0.0000 0.0000
N 0.3833 0.3833 0.0000
N 0.6167 0.6167 0.0000
```